## KNa2PSe4 (PBE)

Data for a relaxed structure of KNa2PSe4.

Values from the calculation:
* symmetry: C2/c
* DOS(E_F): 6.4 states/eV per cell
* raw total energy: -0.2419 Ry per atom
* calculated volume: 472.8 Å³ per cell

Lattice parameters (Å, degrees): 7.689 7.689 8.298 98.58 98.58 79.24
Fractional coordinates of all 16 atoms:
K  0.000  0.000  0.000
K  0.000  0.000  0.500
Na  0.000  0.500  0.000
Na  0.500  0.000  0.500
Na  0.500  0.500  0.000
Na  0.500  0.500  0.500
P  0.000  0.500  0.500
P  0.500  0.000  0.000
Se  0.173  0.602  0.314
Se  0.263  0.329  0.644
Se  0.329  0.263  0.144
Se  0.398  0.827  0.186
Se  0.602  0.173  0.814
Se  0.671  0.737  0.856
Se  0.737  0.671  0.356
Se  0.827  0.398  0.686